Arrangement one

# KLi3Sn

A PBEsol-optimized structure of KLi3Sn (meta-GGA SCAN, Alexandria).

symmetry	Pm-3m, No. 221
spin magnetization	0.0	μB/f.u.

Cell lengths 5.2938, 5.2938, 5.2938 Å; angles 90.00, 90.00, 90.00 degrees
Positions (direct):
K (0.5000, 0.5000, 0.5000)
Sn (0.0000, 0.0000, 0.0000)
Li (0.0000, 0.5000, 0.0000)
Li (0.0000, 0.0000, 0.5000)
Li (0.5000, 0.0000, 0.0000)

Arrangement two

# KLi3Sn

A PBEsol-optimized structure of KLi3Sn (meta-GGA SCAN, Alexandria).

symmetry	Pm-3m, No. 221
spin magnetization	0.0	μB/f.u.

Cell lengths 4.9828, 4.9828, 4.9828 Å; angles 90.00, 90.00, 90.00 degrees
Positions (direct):
K (0.0000, 0.0000, 0.0000)
Sn (0.5000, 0.5000, 0.5000)
Li (0.0000, 0.5000, 0.0000)
Li (0.0000, 0.0000, 0.5000)
Li (0.5000, 0.0000, 0.0000)

It comes down to arrangement one, which is 827 meV/atom more stable than the next structure.

Arrangement one

# K2SrLi

A PBEsol-optimized structure of K2SrLi (meta-GGA SCAN, Alexandria).

symmetry	Pm, No. 6
spin magnetization	0.1	μB/f.u.

Cell lengths 4.2775, 4.2796, 11.3637 Å; angles 89.94, 90.00, 90.00 degrees
Positions (direct):
Sr (0.5000, 0.4991, 0.6932)
K (0.0000, 0.0002, 0.9855)
K (0.5000, 0.5010, 0.3058)
Li (0.0000, 0.9997, 0.5155)

Arrangement two

# K2SrLi

A PBEsol-optimized structure of K2SrLi (meta-GGA SCAN, Alexandria).

symmetry	Pmmm, No. 47
spin magnetization	0.0	μB/f.u.

Cell lengths 4.7218, 6.3336, 6.8923 Å; angles 90.00, 90.00, 90.00 degrees
Positions (direct):
K (0.0000, 0.0000, 0.0000)
K (0.5000, 0.5000, 0.0000)
Li (0.5000, 0.0000, 0.5000)
Sr (0.0000, 0.5000, 0.5000)

It comes down to arrangement one, which is 80 meV/atom more stable than the next structure.

Arrangement one

# KLiTc2

A PBEsol-optimized structure of KLiTc2 (meta-GGA SCAN, Alexandria).

symmetry	Immm, No. 71
spin magnetization	0.0	μB/f.u.

Cell lengths 2.6732, 4.4869, 6.1658 Å; angles 111.34, 102.52, 90.00 degrees
Positions (direct):
K (0.5000, 0.0000, 0.0000)
Li (0.0000, 0.5000, 0.0000)
Tc (0.7266, 0.7266, 0.4532)
Tc (0.2734, 0.2734, 0.5468)

Arrangement two

# KLiTc2

A PBEsol-optimized structure of KLiTc2 (meta-GGA SCAN, Alexandria).

symmetry	R-3m, No. 166
spin magnetization	0.0	μB/f.u.

Cell lengths 2.6744, 2.6744, 10.7657 Å; angles 82.86, 82.86, 60.00 degrees
Positions (direct):
K (0.5000, 0.5000, 0.5000)
Li (0.0000, 0.0000, 0.0000)
Tc (0.2595, 0.2595, 0.2215)
Tc (0.7405, 0.7405, 0.7785)

It comes down to arrangement one, which is 26 meV/atom more stable than the next structure.

Arrangement one

# K2LiTl

A PBEsol-optimized structure of K2LiTl (meta-GGA SCAN, Alexandria).

symmetry	P4mm, No. 99
spin magnetization	0.0	μB/f.u.

Cell lengths 3.9725, 3.9725, 10.0199 Å; angles 90.00, 90.00, 90.00 degrees
Positions (direct):
Tl (0.5000, 0.5000, 0.6777)
K (0.0000, 0.0000, 0.9227)
K (0.5000, 0.5000, 0.3159)
Li (0.0000, 0.0000, 0.5838)

Arrangement two

# K2LiTl

A PBEsol-optimized structure of K2LiTl (meta-GGA SCAN, Alexandria).

symmetry	I-42d, No. 122
spin magnetization	0.0	μB/f.u.

Cell lengths 6.6151, 7.5499, 7.5499 Å; angles 78.94, 64.02, 64.02 degrees
Positions (direct):
Tl (0.0000, 0.0000, 0.0000)
Tl (0.7500, 0.5000, 0.5000)
K (0.8750, 0.9953, 0.5047)
K (0.3750, 0.0047, 0.4953)
K (0.6203, 0.5047, 0.0047)
K (0.1297, 0.4953, 0.9953)
Li (0.5000, 0.0000, 0.0000)
Li (0.2500, 0.5000, 0.5000)

It comes down to arrangement one, which is 177 meV/atom more stable than the next structure.